First-principles (PBE) data for Ir12RuRh3 after structural relaxation, as listed in Alexandria via LeMat-Bulk.

Geometry as POSCAR:
```
Ir12RuRh3
1.0
-0.296 3.625 1.295
-3.389 -0.861 1.636
7.314 -4.053 13.017
Ir Ru Rh
12 1 3
direct
0.500 0.500 0.000
0.500 0.500 0.249
0.500 0.500 0.500
0.500 0.500 0.751
0.500 0.000 0.124
0.500 0.000 0.375
0.500 0.000 0.625
0.500 0.000 0.876
0.000 0.500 0.124
0.000 0.500 0.375
0.000 0.500 0.625
0.000 0.500 0.876
0.000 0.000 0.000
0.000 0.000 0.251
0.000 0.000 0.500
0.000 0.000 0.749
```

Output
ΔE_f, kJ per mole of atoms: -2.0
E, eV per atom: -8.625